# ZrTlTe2, single point on PBEsol structure, DFT meta-GGA SCAN
# * magnetic moment: 0.00 Bohr magnetons per cell
# * uncorrected formation energy: -743 meV/atom
# * E: -45.133 eV/atom
data_ZrTlTe2
_chemical_formula_sum 'Zr1 Tl1 Te2'
_cell_length_a 3.9189
_cell_length_b 3.9189
_cell_length_c 8.7055
_cell_angle_alpha 90.00
_cell_angle_beta 90.00
_cell_angle_gamma 120.00
_symmetry_space_group_name_H-M 'P -3 m 1'
_symmetry_Int_Tables_number 164
_symmetry_space_group_name_Hall '-P 3 2"'
loop_
_atom_site_label
_atom_site_type_symbol
_atom_site_fract_x
_atom_site_fract_y
_atom_site_fract_z
_atom_site_occupancy
Zr1 Zr 0.0000 0.0000 0.0000 1
Tl1 Tl 0.0000 0.0000 0.5000 1
Te1 Te 0.3333 0.6667 0.2076 1